[1]
A relaxed structure of SrCrP2Se8. Source: Alexandria via LeMat-Bulk, functional GGA-PBE.

Cell lengths 6.1777, 6.1777, 9.0196 Å; angles 90.00, 90.00, 120.00 degrees
Space group P-3 (No. 147)
Inequivalent atoms, fractional coordinates:
Sr 0.0000 0.0000 0.0000
Cr 0.0000 0.0000 0.5000
P 0.3333 0.6667 0.7336
Se 0.0205 0.6972 0.3240
Se 0.3333 0.6667 0.9779

Calculated values
Fermi-level density of states, states/eV per atom: 0.7784
Raw total energy, eV per atom: -4.58
Formation energy without anion corrections, eV/atom: -0.414



[2]
A relaxed structure of TiCrP2Se. Source: Alexandria via LeMat-Bulk, functional GGA-PBE.

Cell lengths 4.610, 4.610, 4.952 Å; angles 90.00, 90.00, 90.00 degrees
Space group P4/mmm (No. 123)
Inequivalent atoms, fractional coordinates:
Ti 0.000 0.000 0.000
Cr 0.500 0.500 0.500
P 0.000 0.500 0.000
Se 0.000 0.000 0.500

Calculated values
Fermi-level density of states, states/eV per atom: 1.2136
Raw total energy, eV per atom: -5.60
Formation energy without anion corrections, eV/atom: 0.766



[3]
A relaxed structure of Tl2Cr2PSe6. Source: Alexandria via LeMat-Bulk, functional GGA-PBE.

Cell lengths 6.419, 11.101, 7.999 Å; angles 90.00, 105.41, 90.00 degrees
Space group C2/m (No. 12)
Inequivalent atoms, fractional coordinates:
Tl 0.000 0.166 0.000
Cr 0.000 0.332 0.500
P 0.000 0.000 0.500
Se 0.224 0.500 0.675
Se 0.225 0.165 0.676

Calculated values
Fermi-level density of states, states/eV per atom: 0.0329
Raw total energy, eV per atom: -4.97
Formation energy without anion corrections, eV/atom: -0.397



[4]
A relaxed structure of CrSi2P. Source: Alexandria via LeMat-Bulk, functional GGA-PBE.

Cell lengths 3.123, 3.952, 4.137 Å; angles 90.00, 90.00, 90.00 degrees
Space group Pmmm (No. 47)
Inequivalent atoms, fractional coordinates:
Cr 0.000 0.000 0.000
Si 0.000 0.500 0.500
Si 0.500 0.000 0.500
P 0.500 0.500 0.000

Calculated values
Fermi-level density of states, states/eV per atom: 0.7076
Raw total energy, eV per atom: -6.10
Formation energy without anion corrections, eV/atom: 0.368



[5]
A relaxed structure of CrSi2P. Source: Alexandria via LeMat-Bulk, functional GGA-PBE.

Cell lengths 3.416, 3.416, 4.908 Å; angles 90.00, 90.00, 90.00 degrees
Space group P4/mmm (No. 123)
Inequivalent atoms, fractional coordinates:
Cr 0.000 0.000 0.000
Si 0.000 0.500 0.500
P 0.500 0.500 0.000

Calculated values
Fermi-level density of states, states/eV per atom: 0.5419
Raw total energy, eV per atom: -6.16
Formation energy without anion corrections, eV/atom: 0.306



[6]
A relaxed structure of CrSi2P. Source: Alexandria via LeMat-Bulk, functional GGA-PBE.

Cell lengths 3.177, 4.301, 7.460 Å; angles 90.00, 90.00, 90.00 degrees
Space group Imm2 (No. 44)
Inequivalent atoms, fractional coordinates:
Cr 0.000 0.000 0.000
Si 0.000 0.000 0.505
Si 0.000 0.500 0.764
P 0.000 0.500 0.234

Calculated values
Fermi-level density of states, states/eV per atom: 0.5988
Raw total energy, eV per atom: -6.27
Formation energy without anion corrections, eV/atom: 0.201



[7]
A relaxed structure of CrSi2P. Source: Alexandria via LeMat-Bulk, functional GGA-PBE.

Cell lengths 2.932, 2.932, 6.133 Å; angles 90.00, 90.00, 90.00 degrees
Space group P4mm (No. 99)
Inequivalent atoms, fractional coordinates:
Cr 0.000 0.000 0.000
Si 0.000 0.000 0.476
Si 0.500 0.500 0.761
P 0.500 0.500 0.180

Calculated values
Fermi-level density of states, states/eV per atom: 0.6488
Raw total energy, eV per atom: -6.36
Formation energy without anion corrections, eV/atom: 0.113



[8]
A relaxed structure of CrSi2P. Source: Alexandria via LeMat-Bulk, functional GGA-PBE.

Cell lengths 3.177, 3.177, 4.910 Å; angles 90.00, 90.00, 90.00 degrees
Space group P4/mmm (No. 123)
Inequivalent atoms, fractional coordinates:
Cr 0.000 0.000 0.000
Si 0.500 0.500 0.250
P 0.000 0.000 0.500

Calculated values
Fermi-level density of states, states/eV per atom: 0.5995
Raw total energy, eV per atom: -6.34
Formation energy without anion corrections, eV/atom: 0.125



[9]
A relaxed structure of CrSiP. Source: Alexandria via LeMat-Bulk, functional GGA-PBE.

Cell lengths 2.842, 2.842, 4.974 Å; angles 90.00, 90.00, 90.00 degrees
Space group P4mm (No. 99)
Inequivalent atoms, fractional coordinates:
Cr 0.000 0.000 0.000
Si 0.500 0.500 0.296
P 0.500 0.500 0.753

Calculated values
Energy above the most stable polymorph in this dataset, meV/atom: 0
Fermi-level density of states, states/eV per atom: 0.6030
Raw total energy, eV per atom: -7.06
Formation energy without anion corrections, eV/atom: -0.243



[10]
A relaxed structure of CrSiP. Source: Alexandria via LeMat-Bulk, functional GGA-PBE.

Cell lengths 3.430, 3.430, 6.958 Å; angles 90.00, 90.00, 90.00 degrees
Space group I-4m2 (No. 119)
Inequivalent atoms, fractional coordinates:
Cr 0.000 0.000 0.000
Si 0.000 0.500 0.750
P 0.000 0.500 0.250

Calculated values
Energy above the most stable polymorph in this dataset, meV/atom: 156
Fermi-level density of states, states/eV per atom: 0.8343
Raw total energy, eV per atom: -6.91
Formation energy without anion corrections, eV/atom: -0.088



[11]
A relaxed structure of CrSi2P. Source: Alexandria via LeMat-Bulk, functional GGA-PBE.

Cell lengths 3.827, 3.953, 7.001 Å; angles 90.00, 90.00, 90.00 degrees
Space group Cmmm (No. 65)
Inequivalent atoms, fractional coordinates:
Cr 0.000 0.000 0.000
Si 0.000 0.500 0.230
P 0.000 0.000 0.500

Calculated values
Fermi-level density of states, states/eV per atom: 0.5205
Raw total energy, eV per atom: -6.19
Formation energy without anion corrections, eV/atom: 0.281



[12]
A relaxed structure of CrSiP. Source: Alexandria via LeMat-Bulk, functional GGA-PBE.

Cell lengths 2.922, 3.129, 4.573 Å; angles 90.00, 96.46, 90.00 degrees
Space group Pm (No. 6)
Inequivalent atoms, fractional coordinates:
Cr 0.000 0.000 0.000
Si 0.395 0.000 0.574
P 0.520 0.500 0.200

Calculated values
Energy above the most stable polymorph in this dataset, meV/atom: 216
Fermi-level density of states, states/eV per atom: 0.8434
Raw total energy, eV per atom: -6.85
Formation energy without anion corrections, eV/atom: -0.027